VASP calculation (PBE) on an optimized crystal structure of Zr2CoTc.

The structure in POSCAR format:
```
Zr2CoTc
1.0
3.242 0.000 0.000
0.000 4.060 0.000
0.000 0.000 5.453
Zr Co Tc
2 1 1
direct
0.000 0.000 0.000 Zr
0.500 0.500 0.363 Zr
0.000 0.000 0.507 Co
0.500 0.500 0.855 Tc
```

Summary:
- DFT formation energy (kJ per mole of atoms) = 2.32
- energy relative to the lowest polymorph listed for this composition (meV per atom) = 398
- density of states at the Fermi level (states/eV/f.u.) = 2.2